# BaInRu3

A relaxed structure of BaInRu3 (PBE, Alexandria).

Structure (POSCAR):
```
BaInRu3
1.0
5.047 0.000 0.000
0.000 5.047 0.000
0.000 0.000 5.047
Ba In Ru
1 1 3
Direct
0.000 0.000 0.000 Ba
0.500 0.500 0.500 In
0.000 0.500 0.500 Ru
0.500 0.000 0.500 Ru
0.500 0.500 0.000 Ru
```

## Properties
ΔH_f (0 K), meV/atom: 1359
Energy above the most stable polymorph in this dataset, eV per atom: 0.000
VASP energy, eV/atom: -5.139
Size of the total moment, μB per cell: 4.6